(1)
Here is a relaxed Ti2GaC crystal from Alexandria. Energies are from PBE-GGA.

a b c (Å): 7.010 7.010 7.010
angles (deg): 25.31 25.31 25.31
Sites, in units of the cell vectors:
Ti1 0.000 0.000 0.000
Ti2 0.221 0.221 0.221
Ga1 0.444 0.444 0.444
C1 0.612 0.612 0.612

Properties
Calculated formation energy: -0.7293 eV/atom
Energy above the lowest structure with this stoichiometry: 29 meV/atom
Size of the total moment: 0.000 μB per atom


(2)
Here is a relaxed HoScPdAu crystal from Alexandria. Energies are from PBE-GGA.

a b c (Å): 4.530 5.554 5.554
angles (deg): 37.65 90.00 90.00
Sites, in units of the cell vectors:
Ho1 0.000 0.000 0.000
Sc1 0.500 0.278 0.278
Pd1 0.500 0.552 0.552
Au1 0.000 0.727 0.727

Properties
Calculated formation energy: -0.8603 eV/atom
Energy above the lowest structure with this stoichiometry: 0 meV/atom
Size of the total moment: 0.000 μB per atom


(3)
Here is a relaxed NaPd5Pb4 crystal from Alexandria. Energies are from PBE-GGA.

a b c (Å): 7.020 7.020 7.020
angles (deg): 98.30 98.30 135.34
Sites, in units of the cell vectors:
Na1 0.000 0.000 0.000
Pd1 0.090 0.639 0.709
Pd2 0.381 0.090 0.451
Pd3 0.499 0.499 0.000
Pd4 0.639 0.930 0.549
Pd5 0.930 0.381 0.291
Pb1 0.240 0.371 0.592
Pb2 0.371 0.779 0.131
Pb3 0.649 0.240 0.869
Pb4 0.779 0.649 0.408

Properties
Calculated formation energy: -0.1446 eV/atom
Size of the total moment: 0.000 μB per atom


(4)
Here is a relaxed Tl5Hg2Pd crystal from Alexandria. Energies are from PBE-GGA.

a b c (Å): 8.396 12.359 4.394
angles (deg): 90.00 90.00 90.00
Sites, in units of the cell vectors:
Tl1 0.000 0.000 0.000
Tl2 0.124 0.288 0.000
Tl3 0.190 0.568 0.500
Tl4 0.310 0.068 0.500
Tl5 0.376 0.788 0.000
Tl6 0.500 0.500 0.000
Tl7 0.624 0.212 0.000
Tl8 0.690 0.932 0.500
Tl9 0.810 0.432 0.500
Tl10 0.876 0.712 0.000
Hg1 0.106 0.826 0.500
Hg2 0.394 0.326 0.500
Hg3 0.606 0.674 0.500
Hg4 0.894 0.174 0.500
Pd1 0.000 0.500 0.000
Pd2 0.500 0.000 0.000

Properties
Calculated formation energy: -0.0113 eV/atom
Size of the total moment: 0.000 μB per atom


(5)
Here is a relaxed Ti3GaRh crystal from Alexandria. Energies are from PBE-GGA.

a b c (Å): 9.611 9.611 9.611
angles (deg): 151.03 151.03 41.44
Sites, in units of the cell vectors:
Ti1 0.129 0.379 0.750
Ti2 0.216 0.216 0.000
Ti3 0.621 0.371 0.750
Ti4 0.621 0.871 0.250
Ti5 0.629 0.379 0.250
Ti6 0.784 0.784 0.000
Ga1 0.053 0.553 0.500
Ga2 0.447 0.947 0.500
Rh1 0.500 0.500 0.000
Rh2 0.750 0.250 0.500

Properties
Calculated formation energy: 0.2355 eV/atom
Energy above the lowest structure with this stoichiometry: 0 meV/atom
Size of the total moment: 0.000 μB per atom


(6)
Here is a relaxed IrSe2I crystal from Alexandria. Energies are from PBE-GGA.

a b c (Å): 4.863 4.863 4.863
angles (deg): 60.00 60.00 60.00
Sites, in units of the cell vectors:
Ir1 0.000 0.000 0.000
Se1 0.250 0.250 0.250
Se2 0.750 0.750 0.750
I1 0.500 0.500 0.500

Properties
Energy above the lowest structure with this stoichiometry: 1199 meV/atom
Size of the total moment: 0.000 μB per atom
Energy relative to the elements, uncorrected: 400 kJ/mol of formula units


- Look up the size of the total moment of the second one.
  0.000 μB per atom